1.
! AlZn2Cu | the Alexandria database | PBE | optimized geometry; values from VASP
&SYSTEM
  ibrav = 0, nat = 4, ntyp = 3
/
ATOMIC_SPECIES
Cu 63.55 Cu.upf
Zn 65.41 Zn.upf
Al 26.98 Al.upf
ATOMIC_POSITIONS crystal
Cu 0.750 0.250 0.500
Zn 0.000 0.000 0.000
Al 0.500 0.500 0.000
Zn 0.250 0.750 0.500
CELL_PARAMETERS angstrom
-0.604 -4.221 -2.038
-0.551 -3.311 3.326
-2.112 4.171 -0.687
! space group: No. 119
! total energy: -10.5 eV/cell


2.
! LaSc7In4 | the Alexandria database | PBE | optimized geometry; values from VASP
&SYSTEM
  ibrav = 0, nat = 12, ntyp = 3
/
ATOMIC_SPECIES
Sc 44.96 Sc.upf
In 114.82 In.upf
La 138.91 La.upf
ATOMIC_POSITIONS crystal
Sc 0.331 0.599 0.739
Sc 0.782 0.875 0.561
In 0.309 0.327 0.055
In 0.574 0.216 0.636
Sc 0.058 0.617 0.268
Sc 0.942 0.383 0.732
La 0.000 0.000 0.000
Sc 0.669 0.401 0.261
Sc 0.218 0.125 0.439
In 0.426 0.784 0.364
In 0.691 0.673 0.945
Sc 0.500 0.000 0.000
CELL_PARAMETERS angstrom
5.342 0.000 0.000
2.671 8.724 0.104
2.671 0.398 6.603
! space group: No. 12
! total energy: -61.2 eV/cell


3.
! BePtW | the Alexandria database | PBE | optimized geometry; values from VASP
&SYSTEM
  ibrav = 0, nat = 6, ntyp = 3
/
ATOMIC_SPECIES
W 183.84 W.upf
Be 9.01 Be.upf
Pt 195.08 Pt.upf
ATOMIC_POSITIONS crystal
W 0.556 0.743 0.505
Be 0.315 0.099 0.521
W 0.999 0.812 0.042
Pt 0.628 0.147 0.972
Be 0.237 0.456 0.028
Pt 0.926 0.408 0.576
CELL_PARAMETERS angstrom
2.763 0.003 0.003
-1.013 6.749 -0.046
0.940 -1.654 4.396
! space group: No. 2
! total energy: -46.5 eV/cell
! E above lowest polymorph: 162 meV per atom


4.
! RbMnIn2S | the Alexandria database | PBE | optimized geometry; values from VASP
&SYSTEM
  ibrav = 0, nat = 5, ntyp = 4
/
ATOMIC_SPECIES
Mn 54.94 Mn.upf
Rb 85.47 Rb.upf
In 114.82 In.upf
S 32.06 S.upf
ATOMIC_POSITIONS crystal
Mn 0.000 0.500 0.000
Rb 0.500 0.500 0.500
In 0.000 0.000 0.500
In 0.500 0.000 0.000
S 0.000 0.000 0.000
CELL_PARAMETERS angstrom
6.160 0.000 0.000
0.000 4.460 0.000
0.000 0.000 6.160
! space group: No. 123
! total energy: -19.0 eV/cell


5.
! Li5B8C8 | the Alexandria database | PBE | optimized geometry; values from VASP
&SYSTEM
  ibrav = 0, nat = 21, ntyp = 3
/
ATOMIC_SPECIES
B 10.81 B.upf
C 12.01 C.upf
Li 6.94 Li.upf
ATOMIC_POSITIONS crystal
B 0.962 0.292 0.813
C 0.789 0.459 0.062
C 0.711 0.041 0.188
C 0.208 0.536 0.436
C 0.703 0.034 0.685
B 0.459 0.789 0.061
B 0.461 0.792 0.565
Li 0.250 0.250 0.625
C 0.207 0.543 0.938
Li 0.749 0.750 0.366
C 0.797 0.466 0.565
B 0.536 0.211 0.937
C 0.292 0.964 0.814
B 0.041 0.711 0.189
B 0.039 0.708 0.685
Li 0.751 0.750 0.884
C 0.293 0.957 0.312
B 0.538 0.208 0.437
Li 0.503 0.499 0.274
B 0.964 0.289 0.313
Li 0.997 0.001 0.976
CELL_PARAMETERS angstrom
-5.259 -5.521 -1.529
-3.039 -6.734 2.461
-3.056 3.481 2.760
! space group: No. 2
! total energy: -139.8 eV/cell
! E above lowest polymorph: 4 meV per atom


6.
! KTcC2Br | the Alexandria database | PBE | optimized geometry; values from VASP
&SYSTEM
  ibrav = 0, nat = 5, ntyp = 4
/
ATOMIC_SPECIES
Tc 98.00 Tc.upf
C 12.01 C.upf
Br 79.90 Br.upf
K 39.10 K.upf
ATOMIC_POSITIONS crystal
Tc 0.000 0.500 0.000
C 0.000 0.000 0.500
Br 0.500 0.500 0.500
C 0.500 0.000 0.000
K 0.000 0.000 0.000
CELL_PARAMETERS angstrom
4.522 0.000 0.000
0.000 5.051 0.000
0.000 0.000 4.522
! space group: No. 123
! total energy: -11.7 eV/cell


7.
! CsHfCu2Cl8 | the Alexandria database | PBE | optimized geometry; values from VASP
&SYSTEM
  ibrav = 0, nat = 12, ntyp = 4
/
ATOMIC_SPECIES
Cl 35.45 Cl.upf
Cs 132.91 Cs.upf
Cu 63.55 Cu.upf
Hf 178.49 Hf.upf
ATOMIC_POSITIONS crystal
Cl 0.443 0.150 0.646
Cs 0.000 0.000 0.000
Cu 0.760 0.760 0.719
Cl 0.150 0.761 0.646
Cl 0.239 0.850 0.354
Cu 0.240 0.240 0.281
Cl 0.850 0.557 0.354
Cl 0.307 0.307 0.080
Cl 0.693 0.693 0.920
Cl 0.761 0.443 0.646
Hf 0.500 0.500 0.500
Cl 0.557 0.239 0.354
CELL_PARAMETERS angstrom
6.244 0.000 0.000
3.122 5.407 0.000
3.122 1.802 10.862
! space group: No. 155
! total energy: -48.6 eV/cell


8.
! Tl2AgSn | the Alexandria database | PBE | optimized geometry; values from VASP
&SYSTEM
  ibrav = 0, nat = 4, ntyp = 3
/
ATOMIC_SPECIES
Tl 204.38 Tl.upf
Ag 107.87 Ag.upf
Sn 118.71 Sn.upf
ATOMIC_POSITIONS crystal
Tl 0.000 0.000 0.224
Tl 0.000 0.000 0.776
Ag 0.500 0.500 0.000
Sn 0.500 0.500 0.500
CELL_PARAMETERS angstrom
3.712 0.000 0.000
0.000 3.712 0.000
0.000 0.000 7.673
! space group: No. 123
! total energy: -11.1 eV/cell
! E above lowest polymorph: 0 meV per atom